Record 1
VASP calculation (GGA-PBE) on a relaxed structure of PmPr3Er5.

Output
size of the total moment: 0.00 μB/f.u.
total energy: -4.1404 eV/atom
ΔH_f (0 K): 0.52 eV per atom
DOS at the Fermi energy: 24.47 states/eV/cell

The structure in POSCAR format:
```
PmPr3Er5
1.0
-6.970 -2.128 6.210
-2.346 -9.203 -1.209
-0.127 -8.540 8.065
Pm Er Pr
2 10 6
Cartesian
-7.912 -13.000 7.466
-1.530 -6.871 5.599
-3.545 -7.369 0.714
-5.000 -9.267 9.952
-6.737 -7.093 6.796
-2.705 -12.778 6.270
-5.771 -3.962 4.286
-4.829 -12.398 8.814
-4.614 -7.473 4.251
-7.700 -17.450 11.843
-1.743 -2.421 1.223
-4.442 -10.604 3.114
-3.239 -9.258 6.810
0.000 0.000 0.000
-0.064 -4.270 4.033
-6.203 -10.613 6.255
-6.646 -14.847 10.017
-2.796 -5.024 3.048
```

Record 2
VASP calculation (GGA-PBE) on a relaxed structure of YMg2Ge2.

Output
polymorph energy (0 for the lowest one): 135 meV per atom
size of the total moment: 0.00 μB/f.u.
total energy: -4.0855 eV/atom
ΔH_f (0 K): -0.31 eV per atom
DOS at the Fermi energy: 3.97 states/eV/cell

The structure in POSCAR format:
```
YMg2Ge2
1.0
-2.232 -7.480 1.946
7.584 -2.510 -0.950
0.615 0.648 3.195
Ge Y Mg
4 2 4
Cartesian
3.126 -7.942 1.009
5.614 -4.656 -0.136
2.226 -2.048 -0.013
-0.262 -5.334 1.132
2.676 -4.995 0.498
0.000 0.000 0.000
4.838 -2.309 1.260
0.546 -2.730 2.171
1.129 -7.033 2.931
5.421 -6.612 2.020
```

Record 3
VASP calculation (GGA-PBE) on a relaxed structure of Ba2NaZn4Au3.

Output
size of the total moment: 0.00 μB/f.u.
total energy: -2.3963 eV/atom
ΔH_f (0 K): -0.39 eV per atom
DOS at the Fermi energy: 5.42 states/eV/cell

The structure in POSCAR format:
```
Ba2NaZn4Au3
1.0
4.636 0.000 0.000
0.000 4.636 0.000
0.000 0.000 11.354
Na Zn Ba Au
1 4 2 3
Cartesian
2.318 2.318 5.677
0.000 2.318 4.070
2.318 2.318 0.000
2.318 0.000 7.284
0.000 0.000 0.000
0.000 2.318 8.649
2.318 0.000 2.705
0.000 2.318 1.391
0.000 0.000 5.677
2.318 0.000 9.963
```